CaPtSN2: optimized geometry, GGA-PBE.

```
CaPtSN2
1.0
4.2096 0.0000 0.0000
0.0000 4.2096 0.0000
0.0000 0.0000 5.3813
Ca Pt S N
1 1 1 2
direct
0.0000 0.0000 0.0000
0.5000 0.5000 0.5000
0.0000 0.0000 0.5000
0.0000 0.5000 0.0000
0.5000 0.0000 0.0000
```

energy = -3.93 eV per atom
ΔE to the lowest computed polymorph = 1.508 eV per atom
formation energy from raw total energies = 1.8302 eV/atom



SrMo2Au: optimized geometry, GGA-PBE.

```
SrMo2Au
1.0
-1.5196 2.4150 5.5721
1.5196 -2.4150 5.5721
1.5196 2.4150 -5.5721
Sr Mo Au
1 2 1
direct
0.0000 0.0000 0.0000
0.2755 0.7755 0.5000
0.7245 0.2245 0.5000
0.5000 0.5000 0.0000
```

energy of formation = 0.6308 eV per atom
energy = -6.02 eV per atom
ΔE to the lowest computed polymorph = 0.354 eV per atom



Zr8Co2Tc: optimized geometry, GGA-PBE.

```
Zr8Co2Tc
1.0
3.7041 -6.1279 0.0000
3.7041 6.1279 0.0000
-1.7002 0.0000 4.9426
Zr Co Tc
8 2 1
direct
0.0900 0.3343 0.5785
0.2234 0.7766 0.0000
0.3343 0.0900 0.5785
0.3726 0.3726 0.1701
0.6274 0.6274 0.8299
0.6657 0.9100 0.4215
0.7766 0.2234 0.0000
0.9100 0.6657 0.4215
0.2943 0.7057 0.5000
0.7057 0.2943 0.5000
0.0000 0.0000 0.0000
```

energy of formation = -0.0719 eV per atom
energy = -8.52 eV per atom



Y2BeCr: optimized geometry, GGA-PBE.

```
Y2BeCr
1.0
4.4544 -1.7501 0.0000
4.4544 1.7501 0.0000
-1.3601 0.0000 5.8701
Y Be Cr
2 1 1
direct
0.2408 0.2408 0.2351
0.7592 0.7592 0.7649
0.5000 0.5000 0.0000
0.0000 0.0000 0.5000
```

energy of formation = 0.5503 eV per atom
energy = -6.02 eV per atom



> energy of number 1 (CaPtSN2)?

-3.93 eV per atom



Repeat the first record exactly.
CaPtSN2: optimized geometry, GGA-PBE.

```
CaPtSN2
1.0
4.2096 0.0000 0.0000
0.0000 4.2096 0.0000
0.0000 0.0000 5.3813
Ca Pt S N
1 1 1 2
direct
0.0000 0.0000 0.0000
0.5000 0.5000 0.5000
0.0000 0.0000 0.5000
0.0000 0.5000 0.0000
0.5000 0.0000 0.0000
```

energy = -3.93 eV per atom
ΔE to the lowest computed polymorph = 1.508 eV per atom
formation energy from raw total energies = 1.8302 eV/atom